First-principles (PBE-GGA) data for a geometry-optimized Y4Nb2Zn3N3 structure, as listed in the Open Quantum Materials Database.

Unit cell a=5.867 b=5.867 c=14.428 alpha=102.21 beta=102.21 gamma=60.31
Element x y z (fractional)
Y  0.043  0.194  0.102
Y  0.122  0.300  0.398
Y  0.194  0.043  0.602
Y  0.300  0.122  0.898
Y  0.700  0.878  0.102
Y  0.806  0.957  0.398
Y  0.878  0.700  0.602
Y  0.957  0.806  0.898
Nb  0.351  0.525  0.070
Nb  0.475  0.649  0.430
Nb  0.525  0.351  0.570
Nb  0.649  0.475  0.930
Zn  0.169  0.831  0.250
Zn  0.334  0.418  0.752
Zn  0.418  0.334  0.252
Zn  0.582  0.666  0.748
Zn  0.666  0.582  0.248
Zn  0.831  0.169  0.750
N  0.000  0.500  0.000
N  0.177  0.662  0.500
N  0.338  0.823  0.000
N  0.500  0.000  0.500
N  0.662  0.177  0.000
N  0.823  0.338  0.500

size of the total moment = 0.0 μB per formula unit
space-group type = No. 15
E_tot = -169.9 eV for the cell shown

=====

First-principles (PBE-GGA) data for a geometry-optimized HoNbCu structure, as listed in the Open Quantum Materials Database.

Unit cell a=4.537 b=4.537 c=4.537 alpha=60.00 beta=60.00 gamma=60.00
Element x y z (fractional)
Ho  0.000  0.000  0.000
Nb  0.750  0.750  0.750
Cu  0.500  0.500  0.500

energy of formation = 3.1 eV per formula unit
E above lowest polymorph = 0 meV/atom
size of the total moment = 1.1 μB per formula unit
space-group type = No. 216
E_tot = -15.3 eV for the cell shown

=====

First-principles (PBE-GGA) data for a geometry-optimized NbBrCl3 structure, as listed in the Open Quantum Materials Database.

Unit cell a=7.135 b=7.135 c=8.417 alpha=124.85 beta=124.85 gamma=58.45
Element x y z (fractional)
Nb  0.222  0.778  0.000
Nb  0.778  0.222  0.000
Br  0.219  0.219  0.189
Br  0.781  0.781  0.811
Cl  0.220  0.734  0.703
Cl  0.266  0.780  0.297
Cl  0.324  0.324  0.847
Cl  0.676  0.676  0.153
Cl  0.734  0.220  0.703
Cl  0.780  0.266  0.297

size of the total moment = 0.0 μB per formula unit
space-group type = No. 12
E_tot = -46.2 eV for the cell shown